1.
A plane-wave DFT calculation with GGA-PBE was carried out for crystalline CsPtCl6 at its relaxed geometry.

```
CsPtCl6
1.0
10.054 0.000 0.000
0.000 8.030 0.000
-3.445 0.000 6.508
Cs Pt Cl
2 2 12
Cartesian
0.000 0.000 0.000 Cs
5.027 4.015 0.000 Cs
-1.723 4.015 3.254 Pt
3.304 0.000 3.254 Pt
-1.202 2.366 4.838 Cl
-1.202 5.664 4.838 Cl
0.498 4.015 2.570 Cl
1.084 0.000 3.939 Cl
2.784 1.649 1.671 Cl
2.784 6.381 1.671 Cl
3.825 1.649 4.838 Cl
3.825 6.381 4.838 Cl
5.525 0.000 2.570 Cl
6.111 4.015 3.939 Cl
7.811 2.366 1.671 Cl
7.811 5.664 1.671 Cl
```

## Properties
**M_tot**: 0.139 μB per atom
**Final energy**: -2.998 eV/atom
**Uncorrected formation energy**: -72.43 kJ/mol of atoms

***

2.
A plane-wave DFT calculation with GGA-PBE was carried out for crystalline Cs6PtCl2 at its relaxed geometry.

```
Cs6PtCl2
1.0
8.818 0.000 0.000
0.000 8.663 0.000
-8.793 0.000 14.652
Cs Pt Cl
12 2 4
Cartesian
-2.939 1.928 4.911 Cs
-7.336 2.403 12.237 Cs
-2.933 1.984 9.699 Cs
1.463 2.347 2.373 Cs
2.889 6.094 0.013 Cs
-1.508 6.900 7.339 Cs
1.534 1.762 7.313 Cs
-2.863 2.569 14.638 Cs
-1.437 6.316 12.278 Cs
2.959 6.678 4.953 Cs
7.362 6.260 2.414 Cs
2.965 6.735 9.740 Cs
-4.396 0.000 7.326 Pt
0.000 4.331 0.000 Pt
-4.379 4.353 11.959 Cl
0.018 8.641 4.634 Cl
0.008 0.022 10.018 Cl
4.405 4.310 2.692 Cl
```

## Properties
**M_tot**: 0.000 μB per atom
**Final energy**: -2.506 eV/atom
**Uncorrected formation energy**: -82.57 kJ/mol of atoms

***

3.
A plane-wave DFT calculation with GGA-PBE was carried out for crystalline CsPtCl2 at its relaxed geometry.

```
CsPtCl2
1.0
6.072 0.000 0.000
-3.036 5.259 0.000
0.000 0.000 17.726
Cs Pt Cl
3 3 6
Cartesian
0.000 0.000 0.000 Cs
0.000 3.506 11.818 Cs
3.036 1.753 5.909 Cs
0.000 0.000 8.863 Pt
0.000 3.506 2.954 Pt
3.036 1.753 14.772 Pt
0.000 0.000 6.641 Cl
0.000 0.000 11.085 Cl
0.000 3.506 0.732 Cl
0.000 3.506 5.176 Cl
3.036 1.753 12.550 Cl
3.036 1.753 16.994 Cl
```

## Properties
**E above lowest polymorph**: 0 meV per atom
**M_tot**: 0.250 μB per atom
**Final energy**: -3.376 eV/atom
**Uncorrected formation energy**: -70.33 kJ/mol of atoms

***

4.
A plane-wave DFT calculation with GGA-PBE was carried out for crystalline Cs12Pt3Cl5 at its relaxed geometry.

```
Cs12Pt3Cl5
1.0
-10.183 10.183 10.183
10.183 -10.183 10.183
10.183 10.183 -10.183
Cs Pt Cl
48 12 20
Cartesian
3.169 -0.316 1.386 Cs
12.105 6.477 -5.407 Cs
13.352 0.316 1.386 Cs
12.105 -3.705 5.407 Cs
9.867 -1.386 3.169 Cs
15.590 -1.922 3.705 Cs
1.386 3.169 -0.316 Cs
13.888 4.776 -1.922 Cs
6.477 5.407 -1.922 Cs
8.797 3.169 0.316 Cs
-0.316 1.386 3.169 Cs
5.407 -1.922 6.477 Cs
9.867 8.797 -3.169 Cs
5.407 1.922 3.705 Cs
6.477 -5.407 12.105 Cs
8.797 -3.169 9.867 Cs
3.705 5.407 1.922 Cs
11.569 7.013 0.316 Cs
5.407 12.105 -3.705 Cs
9.867 1.386 7.013 Cs
3.169 9.867 -1.386 Cs
12.105 3.705 4.776 Cs
1.922 3.705 5.407 Cs
3.169 0.316 8.797 Cs
7.013 9.867 1.386 Cs
8.261 6.477 4.776 Cs
-1.922 6.477 5.407 Cs
7.013 0.316 11.569 Cs
0.316 8.797 3.169 Cs
4.776 -1.922 13.888 Cs
-1.386 3.169 9.867 Cs
6.477 4.776 8.261 Cs
1.386 13.352 0.316 Cs
3.705 15.590 -1.922 Cs
4.776 8.261 6.477 Cs
0.316 1.386 13.352 Cs
4.776 12.105 3.705 Cs
10.498 8.797 7.013 Cs
1.386 7.013 9.867 Cs
3.705 4.776 12.105 Cs
-3.705 5.407 12.105 Cs
8.797 7.013 10.498 Cs
-5.407 12.105 6.477 Cs
0.316 11.569 7.013 Cs
-1.922 13.888 4.776 Cs
-3.169 9.867 8.797 Cs
-1.922 3.705 15.590 Cs
7.013 10.498 8.797 Cs
5.091 2.546 0.000 Pt
10.183 5.091 -2.546 Pt
2.546 0.000 5.091 Pt
12.728 0.000 5.091 Pt
0.000 5.091 2.546 Pt
5.091 -2.546 10.183 Pt
5.091 12.728 0.000 Pt
10.183 5.091 7.637 Pt
-2.546 10.183 5.091 Pt
7.637 10.183 5.091 Pt
0.000 5.091 12.728 Pt
5.091 7.637 10.183 Pt
0.000 0.000 0.000 Cl
5.091 5.091 -5.091 Cl
5.091 -5.091 5.091 Cl
10.183 0.000 0.000 Cl
15.274 2.546 0.000 Cl
10.183 -5.091 7.637 Cl
7.637 10.183 -5.091 Cl
7.637 0.000 5.091 Cl
5.091 7.637 0.000 Cl
10.183 5.091 2.546 Cl
-5.091 5.091 5.091 Cl
0.000 10.183 0.000 Cl
0.000 0.000 10.183 Cl
5.091 5.091 5.091 Cl
0.000 5.091 7.637 Cl
5.091 2.546 10.183 Cl
2.546 10.183 5.091 Cl
2.546 0.000 15.274 Cl
0.000 15.274 2.546 Cl
-5.091 7.637 10.183 Cl
```

## Properties
**M_tot**: 0.000 μB per atom
**Final energy**: -2.790 eV/atom
**Uncorrected formation energy**: -87.84 kJ/mol of atoms

***

5.
A plane-wave DFT calculation with GGA-PBE was carried out for crystalline Cs2PtCl7 at its relaxed geometry.

```
Cs2PtCl7
1.0
7.520 -5.476 0.000
7.520 5.476 0.000
-7.231 0.000 8.969
Cs Pt Cl
4 2 14
Cartesian
2.012 1.075 1.144 Cs
-1.603 -1.075 5.629 Cs
9.412 1.075 3.341 Cs
5.796 -1.075 7.825 Cs
2.096 1.477 6.727 Pt
5.712 -1.477 2.242 Pt
4.376 3.985 2.258 Cl
2.096 3.741 6.727 Cl
1.068 1.197 4.673 Cl
7.048 3.985 2.227 Cl
0.014 1.320 7.750 Cl
4.683 -1.197 0.188 Cl
4.179 1.320 5.704 Cl
3.629 -1.320 3.266 Cl
3.125 1.197 8.781 Cl
7.795 -1.320 1.219 Cl
0.761 -3.985 6.743 Cl
6.741 -1.197 4.296 Cl
5.712 -3.741 2.242 Cl
3.432 -3.985 6.711 Cl
```

## Properties
**E above lowest polymorph**: 114 meV per atom
**M_tot**: 0.103 μB per atom
**Final energy**: -2.973 eV/atom
**Uncorrected formation energy**: -87.40 kJ/mol of atoms

***

6.
A plane-wave DFT calculation with GGA-PBE was carried out for crystalline CsRb2PtCl at its relaxed geometry.

```
CsRb2PtCl
1.0
6.318 0.000 0.000
0.000 6.318 0.000
0.000 0.000 6.562
Cs Rb Pt Cl
1 2 1 1
Cartesian
0.000 0.000 0.000 Cs
0.000 3.159 3.281 Rb
3.159 0.000 3.281 Rb
0.000 0.000 3.281 Pt
3.159 3.159 0.000 Cl
```

## Properties
**M_tot**: 0.000 μB per atom
**Final energy**: -2.733 eV/atom
**Uncorrected formation energy**: -57.70 kJ/mol of atoms

***

7.
A plane-wave DFT calculation with GGA-PBE was carried out for crystalline CsRb2PtCl6 at its relaxed geometry.

```
CsRb2PtCl6
1.0
-3.915 3.915 5.895
3.915 -3.915 5.895
3.915 3.915 -5.895
Cs Rb Pt Cl
1 2 1 6
Cartesian
0.000 0.000 0.000 Cs
3.915 0.000 2.948 Rb
0.000 3.915 2.948 Rb
0.000 0.000 5.895 Pt
0.000 0.000 3.234 Cl
2.258 2.258 0.000 Cl
1.657 -1.657 5.895 Cl
-1.657 1.657 5.895 Cl
1.657 1.657 5.895 Cl
0.000 0.000 8.556 Cl
```

## Properties
**E above lowest polymorph**: 35 meV per atom
**M_tot**: 0.100 μB per atom
**Final energy**: -3.268 eV/atom
**Uncorrected formation energy**: -123.20 kJ/mol of atoms

***

8.
A plane-wave DFT calculation with GGA-PBE was carried out for crystalline CsRb2PtCl6 at its relaxed geometry.

```
CsRb2PtCl6
1.0
3.634 2.098 16.669
-3.634 2.098 16.669
0.000 -4.196 16.669
Cs Rb Pt Cl
2 4 2 12
Cartesian
0.000 0.000 4.245 Cs
0.000 0.000 45.761 Cs
0.000 0.000 9.355 Rb
0.000 0.000 17.713 Rb
0.000 0.000 32.293 Rb
0.000 0.000 40.651 Rb
0.000 0.000 0.000 Pt
0.000 0.000 25.003 Pt
0.000 -2.204 15.239 Cl
-1.909 1.102 15.239 Cl
-1.713 -0.989 26.444 Cl
0.000 -1.978 23.562 Cl
-1.713 0.989 23.562 Cl
-1.909 -1.102 34.768 Cl
1.909 1.102 15.239 Cl
1.713 -0.989 26.444 Cl
0.000 1.978 26.444 Cl
1.713 0.989 23.562 Cl
1.909 -1.102 34.768 Cl
0.000 2.204 34.768 Cl
```

## Properties
**E above lowest polymorph**: 0 meV per atom
**M_tot**: 0.104 μB per atom
**Final energy**: -3.303 eV/atom
**Uncorrected formation energy**: -126.58 kJ/mol of atoms

***

9.
A plane-wave DFT calculation with GGA-PBE was carried out for crystalline Cs2RbPtCl at its relaxed geometry.

```
Cs2RbPtCl
1.0
6.553 0.000 0.000
0.000 6.553 0.000
0.000 0.000 6.314
Cs Rb Pt Cl
2 1 1 1
Cartesian
0.000 3.276 0.000 Cs
3.276 0.000 0.000 Cs
0.000 0.000 3.157 Rb
0.000 0.000 0.000 Pt
3.276 3.276 3.157 Cl
```

## Properties
**M_tot**: 0.000 μB per atom
**Final energy**: -2.737 eV/atom
**Uncorrected formation energy**: -60.23 kJ/mol of atoms

***

10.
A plane-wave DFT calculation with GGA-PBE was carried out for crystalline Cs2RePtCl6 at its relaxed geometry.

```
Cs2RePtCl6
1.0
-4.032 4.032 4.673
4.032 -4.032 4.673
4.032 4.032 -4.673
Cs Re Pt Cl
2 1 1 6
Cartesian
4.032 0.000 2.337 Cs
0.000 4.032 2.337 Cs
0.000 0.000 0.000 Re
0.000 0.000 4.673 Pt
1.698 1.698 0.000 Cl
2.335 -2.335 4.673 Cl
0.000 0.000 2.398 Cl
0.000 0.000 6.948 Cl
-2.335 2.335 4.673 Cl
2.335 2.335 4.673 Cl
```

## Properties
**M_tot**: 0.300 μB per atom
**Final energy**: -3.988 eV/atom
**Uncorrected formation energy**: -83.04 kJ/mol of atoms

***

11.
A plane-wave DFT calculation with GGA-PBE was carried out for crystalline CsPtS2Cl at its relaxed geometry.

```
CsPtS2Cl
1.0
4.798 0.000 0.000
0.000 4.798 0.000
0.000 0.000 5.503
Cs Pt S Cl
1 1 2 1
Cartesian
0.000 0.000 0.000 Cs
2.399 2.399 2.751 Pt
0.000 2.399 2.751 S
2.399 0.000 2.751 S
2.399 2.399 0.000 Cl
```

## Properties
**E above lowest polymorph**: 0 meV per atom
**M_tot**: 0.326 μB per atom
**Final energy**: -3.761 eV/atom
**Uncorrected formation energy**: -34.87 kJ/mol of atoms

***

12.
A plane-wave DFT calculation with GGA-PBE was carried out for crystalline CsPtSCl2 at its relaxed geometry.

```
CsPtSCl2
1.0
5.395 0.000 0.000
0.000 5.395 0.000
0.000 0.000 4.515
Cs Pt S Cl
1 1 1 2
Cartesian
0.000 0.000 0.000 Cs
2.698 2.698 2.258 Pt
2.698 2.698 0.000 S
0.000 2.698 2.258 Cl
2.698 0.000 2.258 Cl
```

## Properties
**E above lowest polymorph**: 0 meV per atom
**M_tot**: 0.000 μB per atom
**Final energy**: -3.644 eV/atom
**Uncorrected formation energy**: -67.60 kJ/mol of atoms

***

13.
A plane-wave DFT calculation with GGA-PBE was carried out for crystalline CsPtSCl2 at its relaxed geometry.

```
CsPtSCl2
1.0
6.224 0.000 0.000
0.000 6.224 0.000
0.000 0.000 5.602
Cs Pt S Cl
1 1 1 2
Cartesian
0.000 0.000 0.000 Cs
3.112 3.112 2.801 Pt
0.000 0.000 2.801 S
0.000 3.112 0.000 Cl
3.112 0.000 0.000 Cl
```

## Properties
**E above lowest polymorph**: 1801 meV per atom
**M_tot**: 0.410 μB per atom
**Final energy**: -1.843 eV/atom
**Uncorrected formation energy**: 106.12 kJ/mol of atoms

***

14.
A plane-wave DFT calculation with GGA-PBE was carried out for crystalline CsPtS2Cl at its relaxed geometry.

```
CsPtS2Cl
1.0
5.469 0.000 0.000
0.000 5.469 0.000
0.000 0.000 6.148
Cs Pt S Cl
1 1 2 1
Cartesian
0.000 0.000 0.000 Cs
2.734 2.734 3.074 Pt
0.000 2.734 0.000 S
2.734 0.000 0.000 S
0.000 0.000 3.074 Cl
```

## Properties
**E above lowest polymorph**: 1901 meV per atom
**M_tot**: 0.411 μB per atom
**Final energy**: -1.859 eV/atom
**Uncorrected formation energy**: 148.56 kJ/mol of atoms

***

15.
A plane-wave DFT calculation with GGA-PBE was carried out for crystalline Cs2PtSCl6 at its relaxed geometry.

```
Cs2PtSCl6
1.0
-3.519 3.519 5.830
3.519 -3.519 5.830
3.519 3.519 -5.830
Cs Pt S Cl
2 1 1 6
Cartesian
3.519 0.000 2.915 Cs
0.000 3.519 2.915 Cs
0.000 0.000 0.000 Pt
0.000 0.000 5.830 S
0.000 0.000 2.345 Cl
1.771 1.771 0.000 Cl
1.749 -1.749 5.830 Cl
-1.749 1.749 5.830 Cl
1.749 1.749 5.830 Cl
0.000 0.000 9.316 Cl
```

## Properties
**M_tot**: 0.000 μB per atom
**Final energy**: -3.203 eV/atom
**Uncorrected formation energy**: -87.60 kJ/mol of atoms

***

16.
A plane-wave DFT calculation with GGA-PBE was carried out for crystalline Cs2ScPtCl at its relaxed geometry.

```
Cs2ScPtCl
1.0
7.064 0.000 0.000
0.000 7.064 0.000
0.000 0.000 4.673
Cs Sc Pt Cl
2 1 1 1
Cartesian
0.000 3.532 0.000 Cs
3.532 0.000 0.000 Cs
0.000 0.000 2.336 Sc
3.532 3.532 0.000 Pt
3.532 3.532 2.336 Cl
```

## Properties
**M_tot**: 0.352 μB per atom
**Final energy**: -2.882 eV/atom
**Uncorrected formation energy**: 29.22 kJ/mol of atoms

***

17.
A plane-wave DFT calculation with GGA-PBE was carried out for crystalline CsScPtCl6 at its relaxed geometry.

```
CsScPtCl6
1.0
3.623 -5.363 0.000
3.623 5.363 0.000
-1.102 0.000 7.798
Cs Sc Pt Cl
1 1 1 6
Cartesian
0.000 0.000 0.000 Cs
3.072 -1.334 3.899 Sc
3.072 2.463 3.899 Pt
2.194 0.757 2.602 Cl
0.669 -1.268 5.035 Cl
3.950 0.757 5.196 Cl
2.355 -2.604 2.016 Cl
3.789 -2.604 5.781 Cl
5.475 -1.268 2.763 Cl
```

## Properties
**M_tot**: 0.011 μB per atom
**Final energy**: -4.187 eV/atom
**Uncorrected formation energy**: -143.44 kJ/mol of atoms

***

18.
A plane-wave DFT calculation with GGA-PBE was carried out for crystalline Cs2PtSeCl6 at its relaxed geometry.

```
Cs2PtSeCl6
1.0
-3.584 3.584 5.813
3.584 -3.584 5.813
3.584 3.584 -5.813
Cs Pt Se Cl
2 1 1 6
Cartesian
3.584 0.000 2.906 Cs
0.000 3.584 2.906 Cs
0.000 0.000 0.000 Pt
0.000 0.000 5.813 Se
0.000 0.000 2.353 Cl
1.771 1.771 0.000 Cl
1.813 -1.813 5.813 Cl
-1.813 1.813 5.813 Cl
1.813 1.813 5.813 Cl
0.000 0.000 9.272 Cl
```

## Properties
**M_tot**: 0.000 μB per atom
**Final energy**: -3.202 eV/atom
**Uncorrected formation energy**: -93.68 kJ/mol of atoms

***

19.
A plane-wave DFT calculation with GGA-PBE was carried out for crystalline Cs2SiPtCl6 at its relaxed geometry.

```
Cs2SiPtCl6
1.0
-3.635 3.635 5.031
3.635 -3.635 5.031
3.635 3.635 -5.031
Cs Si Pt Cl
2 1 1 6
Cartesian
3.635 0.000 2.516 Cs
0.000 3.635 2.516 Cs
0.000 0.000 0.000 Si
0.000 0.000 5.031 Pt
1.706 1.706 0.000 Cl
1.929 -1.929 5.031 Cl
0.000 0.000 2.595 Cl
0.000 0.000 7.467 Cl
-1.929 1.929 5.031 Cl
1.929 1.929 5.031 Cl
```

## Properties
**M_tot**: 0.000 μB per atom
**Final energy**: -3.474 eV/atom
**Uncorrected formation energy**: -101.24 kJ/mol of atoms

***

20.
A plane-wave DFT calculation with GGA-PBE was carried out for crystalline Cs2SrPtCl at its relaxed geometry.

```
Cs2SrPtCl
1.0
6.551 0.000 0.000
0.000 6.551 0.000
0.000 0.000 5.197
Cs Sr Pt Cl
2 1 1 1
Cartesian
0.000 3.276 0.000 Cs
3.276 0.000 0.000 Cs
0.000 0.000 2.599 Sr
3.276 3.276 2.599 Pt
3.276 3.276 0.000 Cl
```

## Properties
**M_tot**: 0.000 μB per atom
**Final energy**: -2.382 eV/atom
**Uncorrected formation energy**: -12.24 kJ/mol of atoms